## Li2Te2Au (SCAN)

Data for a PBEsol-optimized structure of Li2Te2Au.

abc: 3.2083 7.9686 7.9686
angles: 90.00 90.00 90.00
Last column: nearest neighbours and their distance in Å.
Atoms (fractional coordinates):
1 Te 0.5000 0.1819 0.6819  6 Li 2.72-2.95
2 Te 0.5000 0.6819 0.8181  6 Li 2.72-2.95
3 Te 0.5000 0.8181 0.3181  6 Li 2.72-2.95
4 Te 0.5000 0.3181 0.1819  6 Li 2.72-2.95
5 Au 0.0000 0.0000 0.0000  4 Li 3.16, 2 Au 3.21, 8 Te 3.33
6 Au 0.0000 0.5000 0.5000  4 Li 3.16, 2 Au 3.21, 8 Te 3.33
7 Li 0.0000 0.3766 0.8766  6 Te 2.72-2.95, 1 Li 2.78
8 Li 0.0000 0.8766 0.6234  6 Te 2.72-2.95, 1 Li 2.78
9 Li 0.0000 0.6234 0.1234  6 Te 2.72-2.95, 1 Li 2.78
10 Li 0.0000 0.1234 0.3766  6 Te 2.72-2.95, 1 Li 2.78

Calculated values
- total magnetization (Bohr magnetons per cell) = 0.00
- D(E_F) (states/eV per atom) = 0.40
- energy relative to the elements, uncorrected (meV/atom) = -337
- energy relative to the lowest polymorph listed for this composition (meV/atom) = 223



## LiTeAu2 (SCAN)

Data for a PBEsol-optimized structure of LiTeAu2.

abc: 3.6685 3.6685 5.6019
angles: 90.00 90.00 90.01
Last column: nearest neighbours and their distance in Å.
Atoms (fractional coordinates):
1 Au 0.0000 0.0000 0.9685  1 Li 2.59, 4 Au 2.85
2 Au 0.5000 0.5000 0.7585  2 Te 2.75-2.85, 4 Au 2.85, 4 Li 2.96
3 Li 0.0000 0.0000 0.5055  1 Au 2.59
4 Te 0.5000 0.5000 0.2675  2 Au 2.75-2.85, 4 Li 2.92

Calculated values
- total magnetization (Bohr magnetons per cell) = 0.00
- D(E_F) (states/eV per atom) = 0.46
- energy relative to the elements, uncorrected (meV/atom) = -223



## Li2Te2Au (SCAN)

Data for a PBEsol-optimized structure of Li2Te2Au.

abc: 4.1890 7.4774 7.4774
angles: 90.00 90.00 90.00
Last column: nearest neighbours and their distance in Å.
Atoms (fractional coordinates):
1 Te 0.0000 0.3276 0.8276  2 Au 2.77, 2 Li 2.88
2 Te 0.0000 0.8276 0.6724  2 Au 2.77, 2 Li 2.88
3 Te 0.0000 0.6724 0.1724  2 Au 2.77, 2 Li 2.88
4 Te 0.0000 0.1724 0.3276  2 Au 2.77, 2 Li 2.88
5 Au 0.0000 0.0000 0.0000  4 Te 2.77
6 Au 0.0000 0.5000 0.5000  4 Te 2.77
7 Li 0.5000 0.1411 0.6411  6 Te 2.88-3.15, 1 Li 2.98
8 Li 0.5000 0.6411 0.8589  6 Te 2.88-3.15, 1 Li 2.98
9 Li 0.5000 0.8589 0.3589  6 Te 2.88-3.15, 1 Li 2.98
10 Li 0.5000 0.3589 0.1411  6 Te 2.88-3.15, 1 Li 2.98

Calculated values
- total magnetization (Bohr magnetons per cell) = 0.00
- D(E_F) (states/eV per atom) = 0.36
- energy relative to the elements, uncorrected (meV/atom) = -560
- energy relative to the lowest polymorph listed for this composition (meV/atom) = 0



## LiTeAu2 (SCAN)

Data for a PBEsol-optimized structure of LiTeAu2.

abc: 4.0559 4.0559 5.3022
angles: 112.49 112.49 90.00
Last column: nearest neighbours and their distance in Å.
Atoms (fractional coordinates):
1 Au 0.7500 0.2500 0.5000  4 Au 2.87, 4 Li 3.01, 4 Te 3.01
2 Au 0.2500 0.7500 0.5000  4 Au 2.87, 4 Te 3.01, 4 Li 3.01
3 Li 0.0000 0.0000 0.0000  4 Te 2.87, 8 Au 3.01
4 Te 0.5000 0.5000 0.0000  4 Li 2.87, 8 Au 3.01

Calculated values
- total magnetization (Bohr magnetons per cell) = 0.00
- D(E_F) (states/eV per atom) = 0.29
- energy relative to the elements, uncorrected (meV/atom) = -308



## LiThAu2 (SCAN)

Data for a PBEsol-optimized structure of LiThAu2.

abc: 4.9282 4.9282 4.9282
angles: 60.00 60.00 60.00
Last column: nearest neighbours and their distance in Å.
Atoms (fractional coordinates):
1 Au 0.7500 0.7500 0.7500  4 Li 3.02, 4 Th 3.02
2 Au 0.2500 0.2500 0.2500  4 Th 3.02, 4 Li 3.02
3 Th 0.0000 0.0000 0.0000  8 Au 3.02
4 Li 0.5000 0.5000 0.5000  8 Au 3.02

Calculated values
- energy relative to the elements (eV per atom) = -0.734
- total magnetization (Bohr magnetons per cell) = 0.00
- D(E_F) (states/eV per atom) = 0.66



## LiTiAu2 (SCAN)

Data for a PBEsol-optimized structure of LiTiAu2.

abc: 5.4225 5.6687 5.6687
angles: 76.78 61.43 61.43
Last column: nearest neighbours and their distance in Å.
Atoms (fractional coordinates):
1 Li 0.5000 0.0000 0.0000  4 Au 2.50, 2 Ti 2.71
2 Li 0.2500 0.5000 0.5000  4 Au 2.50, 2 Ti 2.71
3 Au 0.8750 0.9823 0.5177  2 Li 2.50, 2 Ti 2.67, 2 Au 2.72
4 Au 0.3750 0.0177 0.4823  2 Li 2.50, 2 Ti 2.67, 2 Au 2.72
5 Au 0.6073 0.5177 0.0177  2 Li 2.50, 2 Ti 2.67, 2 Au 2.72
6 Au 0.1427 0.4823 0.9823  2 Li 2.50, 2 Ti 2.67, 2 Au 2.72
7 Ti 0.0000 0.0000 0.0000  4 Au 2.67, 2 Li 2.71
8 Ti 0.7500 0.5000 0.5000  4 Au 2.67, 2 Li 2.71

Calculated values
- energy relative to the elements (eV per atom) = -0.205
- total magnetization (Bohr magnetons per cell) = 3.36
- D(E_F) (states/eV per atom) = 0.71



## LiTl2Au (SCAN)

Data for a PBEsol-optimized structure of LiTl2Au.

abc: 3.6387 5.0826 5.2002
angles: 103.79 90.00 110.97
Last column: nearest neighbours and their distance in Å.
Atoms (fractional coordinates):
1 Au 0.5124 0.0248 0.5275  3 Li 2.77-3.06, 5 Tl 2.95-3.00
2 Li 0.2338 0.4675 0.7215  3 Au 2.77-3.06, 5 Tl 2.89-3.06
3 Tl 0.9922 0.9845 0.9650  3 Li 2.89-3.06, 2 Au 2.96, 3 Tl 3.07-3.23
4 Tl 0.7616 0.5232 0.2860  3 Au 2.95-3.00, 2 Li 2.97, 3 Tl 3.07-3.23

Calculated values
- energy relative to the elements (eV per atom) = -0.185
- total magnetization (Bohr magnetons per cell) = 0.00
- D(E_F) (states/eV per atom) = 0.32



## Li2TlAu (SCAN)

Data for a PBEsol-optimized structure of Li2TlAu.

abc: 4.6186 4.6186 4.6186
angles: 60.00 60.00 60.00
Last column: nearest neighbours and their distance in Å.
Atoms (fractional coordinates):
1 Tl 0.0000 0.0000 0.0000  4 Au 2.83, 4 Li 2.83
2 Au 0.7500 0.7500 0.7500  4 Li 2.83, 4 Tl 2.83
3 Li 0.2500 0.2500 0.2500  4 Tl 2.83, 4 Li 2.83
4 Li 0.5000 0.5000 0.5000  4 Li 2.83, 4 Au 2.83

Calculated values
- energy relative to the elements (eV per atom) = -0.459
- total magnetization (Bohr magnetons per cell) = 0.00
- D(E_F) (states/eV per atom) = 0.31
- energy relative to the lowest polymorph listed for this composition (meV/atom) = 15



## LiTl2Au (SCAN)

Data for a PBEsol-optimized structure of LiTl2Au.

abc: 3.3613 3.3613 7.5567
angles: 90.00 90.00 90.00
Last column: nearest neighbours and their distance in Å.
Atoms (fractional coordinates):
1 Tl 0.0000 0.0000 0.9574  4 Li 3.05, 1 Au 3.08, 4 Tl 3.36
2 Tl 0.5000 0.5000 0.2895  4 Au 3.08, 1 Li 3.13, 4 Tl 3.36
3 Au 0.0000 0.0000 0.5494  4 Li 2.65
4 Li 0.5000 0.5000 0.7037  4 Au 2.65

Calculated values
- energy relative to the elements (eV per atom) = -0.228
- total magnetization (Bohr magnetons per cell) = 0.00
- D(E_F) (states/eV per atom) = 0.34



## Li2TlAu (SCAN)

Data for a PBEsol-optimized structure of Li2TlAu.

abc: 4.1854 4.1854 4.9335
angles: 115.10 115.10 90.00
Last column: nearest neighbours and their distance in Å.
Atoms (fractional coordinates):
1 Tl 0.5000 0.5000 0.0000  8 Li 2.88-2.96, 4 Au 2.88
2 Au 0.7500 0.2500 0.5000  4 Tl 2.88, 8 Li 2.88-2.96
3 Li 0.0000 0.0000 0.0000  4 Li 2.88, 4 Au 2.88, 4 Tl 2.96
4 Li 0.2500 0.7500 0.5000  4 Tl 2.88, 4 Li 2.88, 4 Au 2.96

Calculated values
- energy relative to the elements (eV per atom) = -0.460
- total magnetization (Bohr magnetons per cell) = 0.00
- D(E_F) (states/eV per atom) = 0.31
- energy relative to the lowest polymorph listed for this composition (meV/atom) = 14



## LiTlAu4 (SCAN)

Data for a PBEsol-optimized structure of LiTlAu4.

abc: 5.4967 5.4967 5.4967
angles: 60.00 60.00 60.00
Last column: nearest neighbours and their distance in Å.
Atoms (fractional coordinates):
1 Tl 0.0000 0.0000 0.0000  12 Au 3.22, 4 Li 3.37
2 Au 0.3754 0.3754 0.3754  6 Au 2.74-2.76
3 Au 0.3754 0.3754 0.8738  6 Au 2.74-2.76
4 Au 0.8738 0.3754 0.3754  6 Au 2.74-2.76
5 Au 0.3754 0.8738 0.3754  6 Au 2.74-2.76
6 Li 0.7500 0.7500 0.7500  12 Au 3.22, 4 Tl 3.37

Calculated values
- energy relative to the elements (eV per atom) = -0.201
- total magnetization (Bohr magnetons per cell) = 0.00
- D(E_F) (states/eV per atom) = 0.42



## Li2TlAu (SCAN)

Data for a PBEsol-optimized structure of Li2TlAu.

abc: 4.5153 4.5571 4.5153
angles: 60.30 90.00 119.70
Last column: nearest neighbours and their distance in Å.
Atoms (fractional coordinates):
1 Tl 0.0000 0.0000 0.0000  8 Li 2.78
2 Au 0.5000 0.0000 0.5000  8 Li 2.78
3 Li 0.2500 0.5000 0.2500  4 Tl 2.78, 4 Au 2.78
4 Li 0.7500 0.5000 0.7500  4 Tl 2.78, 4 Au 2.78

Calculated values
- energy relative to the elements (eV per atom) = -0.470
- total magnetization (Bohr magnetons per cell) = 0.00
- D(E_F) (states/eV per atom) = 0.28
- energy relative to the lowest polymorph listed for this composition (meV/atom) = 4